# YMgI2N

A PBEsol-optimized structure of YMgI2N (meta-GGA SCAN, Alexandria via LeMat-Bulk).

Results
Space-group type ... P4/mmm
Fermi-level density of states ... 3.3 states/eV/cell
Energy ... -0.86205 hartree per atom
Total magnetic moment ... 0.51 μB/cell
Energy relative to the elements, uncorrected ... -0.34 eV/atom
Calculated density ... 4.2 g/cm³
Calculated volume ... 150.3 Å³/cell

a b c (Å): 6.0564 6.0564 4.0982
angles (deg): 90.00 90.00 90.00
Sites, in units of the cell vectors:
1 Y 0.0000 0.0000 0.0000
2 Mg 0.5000 0.5000 0.5000
3 I 0.0000 0.5000 0.0000
4 I 0.5000 0.0000 0.0000
5 N 0.0000 0.0000 0.5000

# NaMg2I

A PBEsol-optimized structure of NaMg2I (meta-GGA SCAN, Alexandria via LeMat-Bulk).

Results
Space-group type ... I-42d
Fermi-level density of states ... 1.2 states/eV/cell
Energy ... -0.47284 hartree per atom
Total magnetic moment ... 0.00 μB/cell
Energy relative to the elements, uncorrected ... -0.14 eV/atom
Calculated density ... 2.6 g/cm³
Calculated volume ... 253.9 Å³/cell

a b c (Å): 7.1258 7.1258 7.1258
angles (deg): 100.70 100.70 128.94
Sites, in units of the cell vectors:
1 Na 0.0000 0.0000 0.0000
2 Na 0.7500 0.2500 0.5000
3 Mg 0.1506 0.1250 0.5256
4 Mg 0.3750 0.8494 0.9744
5 Mg 0.5994 0.6250 0.4744
6 Mg 0.8750 0.4006 0.0256
7 I 0.2500 0.7500 0.5000
8 I 0.5000 0.5000 0.0000

# NaMgTe2I

A PBEsol-optimized structure of NaMgTe2I (meta-GGA SCAN, Alexandria via LeMat-Bulk).

Results
Space-group type ... P4/mmm
Fermi-level density of states ... 4.5 states/eV/cell
Energy ... -0.90092 hartree per atom
Total magnetic moment ... 0.00 μB/cell
Energy relative to the elements, uncorrected ... -0.43 eV/atom
Calculated density ... 4.1 g/cm³
Calculated volume ... 174.7 Å³/cell

a b c (Å): 5.4326 5.4326 5.9187
angles (deg): 90.00 90.00 90.00
Sites, in units of the cell vectors:
1 Na 0.0000 0.0000 0.0000
2 Mg 0.5000 0.5000 0.5000
3 Te 0.0000 0.5000 0.5000
4 Te 0.5000 0.0000 0.5000
5 I 0.5000 0.5000 0.0000

# MgNb2OsI

A PBEsol-optimized structure of MgNb2OsI (meta-GGA SCAN, Alexandria via LeMat-Bulk).

Results
Space-group type ... P4/mmm
Fermi-level density of states ... 3.0 states/eV/cell
Energy ... -1.25978 hartree per atom
Total magnetic moment ... 0.00 μB/cell
Energy relative to the elements, uncorrected ... 1.69 eV/atom
Calculated density ... 7.4 g/cm³
Calculated volume ... 118.0 Å³/cell

a b c (Å): 4.9552 4.9552 4.8074
angles (deg): 90.00 90.00 90.00
Sites, in units of the cell vectors:
1 Mg 0.0000 0.0000 0.0000
2 Nb 0.0000 0.5000 0.5000
3 Nb 0.5000 0.0000 0.5000
4 Os 0.5000 0.5000 0.0000
5 I 0.5000 0.5000 0.5000

# YMgNb2I

A PBEsol-optimized structure of YMgNb2I (meta-GGA SCAN, Alexandria via LeMat-Bulk).

Results
Space-group type ... P4/mmm
Fermi-level density of states ... 5.6 states/eV/cell
Energy ... -0.95802 hartree per atom
Total magnetic moment ... 0.00 μB/cell
Energy relative to the elements, uncorrected ... 1.09 eV/atom
Calculated density ... 5.3 g/cm³
Calculated volume ... 132.4 Å³/cell

a b c (Å): 5.0538 5.0538 5.1845
angles (deg): 90.00 90.00 90.00
Sites, in units of the cell vectors:
1 Y 0.0000 0.0000 0.0000
2 Mg 0.5000 0.5000 0.0000
3 Nb 0.0000 0.5000 0.5000
4 Nb 0.5000 0.0000 0.5000
5 I 0.5000 0.5000 0.5000

# MgNi3I

A PBEsol-optimized structure of MgNi3I (meta-GGA SCAN, Alexandria via LeMat-Bulk).

Results
Space-group type ... Pm-3m
Fermi-level density of states ... 4.3 states/eV/cell
Energy ... -0.61665 hartree per atom
Total magnetic moment ... 0.74 μB/cell
Energy relative to the elements, uncorrected ... 1.27 eV/atom
Calculated density ... 6.4 g/cm³
Calculated volume ... 84.5 Å³/cell

a b c (Å): 4.3875 4.3875 4.3875
angles (deg): 90.00 90.00 90.00
Sites, in units of the cell vectors:
1 Mg 0.0000 0.0000 0.0000
2 Ni 0.0000 0.0000 0.5000
3 Ni 0.0000 0.5000 0.0000
4 Ni 0.5000 0.0000 0.0000
5 I 0.5000 0.5000 0.5000